No. 1
## Ca4ScW (PBE)

Data for Ca4ScW after structural relaxation.

a b c (Å): 6.4263 6.4263 6.4263
angles (deg): 60.00 60.00 60.00
Fractional coordinates of all 6 atoms:
Ca1 0.1252 0.1252 0.1252
Ca2 0.1252 0.1252 0.6244
Ca3 0.1252 0.6244 0.1252
Ca4 0.6244 0.1252 0.1252
Sc1 0.7500 0.7500 0.7500
W1 0.5000 0.5000 0.5000

total magnetic moment: 0.50 μB per atom
formation enthalpy at 0 K: 6.72 eV per formula unit
DFT total energy: -3.43 eV/atom


No. 2
## TlSiNi (PBE)

Data for TlSiNi after structural relaxation.

a b c (Å): 6.0129 6.0129 6.0129
angles (deg): 90.00 90.00 90.00
Fractional coordinates of all 12 atoms:
Tl1 0.0000 0.0000 0.0000
Tl2 0.0000 0.5000 0.5000
Tl3 0.5000 0.0000 0.5000
Tl4 0.5000 0.5000 0.0000
Si1 0.0000 0.0000 0.5000
Si2 0.0000 0.5000 0.0000
Si3 0.5000 0.0000 0.0000
Si4 0.5000 0.5000 0.5000
Ni1 0.2500 0.2500 0.2500
Ni2 0.2500 0.7500 0.7500
Ni3 0.7500 0.2500 0.7500
Ni4 0.7500 0.7500 0.2500

total magnetic moment: 0.00 μB per atom
distance to the lowest polymorph of the same formula: 0.0761 eV/atom
DFT total energy: -4.31 eV/atom
formation energy from raw total energies: 218 meV/atom


> What is the total magnetic moment in the first record?

0.50 μB per atom


> Which value of total magnetic moment does entry 1 give?

0.50 μB per atom


> total magnetic moment of number 1 (Ca4ScW)?

0.50 μB per atom